(1)
Here is an optimized crystal structure of Ca4SnHgAu2 from Alexandria. Energies are from PBE-GGA.

Calculated values
Space group: R-3m, No. 166

Cell: 5.2522 5.2522 9.2260 Å, 73.46 73.46 60.00°
Atoms (fractional coordinates):
Au 0.7529 0.7529 0.7414
Au 0.2471 0.2471 0.2586
Sn 0.0000 0.0000 0.0000
Ca 0.8756 0.8756 0.3733
Ca 0.3751 0.3751 0.8746
Ca 0.1244 0.1244 0.6267
Ca 0.6249 0.6249 0.1254
Hg 0.5000 0.5000 0.5000

***

(2)
Here is an optimized crystal structure of Ca3Sn2Hg2Au4 from Alexandria. Energies are from PBE-GGA.

Calculated values
Space group: P-3m1, No. 164

Cell: 4.8215 4.8215 13.7572 Å, 90.00 90.00 120.00°
Atoms (fractional coordinates):
Ca 0.0000 0.0000 0.7323
Ca 0.0000 0.0000 0.2677
Ca 0.0000 0.0000 0.0000
Sn 0.6667 0.3333 0.4124
Sn 0.3333 0.6667 0.5876
Au 0.6667 0.3333 0.1291
Au 0.3333 0.6667 0.8709
Au 0.3333 0.6667 0.3806
Au 0.6667 0.3333 0.6194
Hg 0.3333 0.6667 0.1402
Hg 0.6667 0.3333 0.8598

***

| no. | ΔH_f (0 K) (eV per atom) |
| --- | --- |
| 1 | -0.684 |
| 2 | -0.539 |